w.
The following is a DFT calculation (PBE-GGA) of a relaxed IrOsRh3 crystal.

a = 5.8780 Å, b = 5.8780 Å, c = 4.9638 Å
α = 90.00°, β = 90.00°, γ = 98.98°
Closest atoms and distances in Å follow each position.
Fractional positions:
Ir: 0.2438 0.7562 0.7500  2 Os 2.51, 8 Rh 2.54-2.80
Ir: 0.7562 0.2438 0.2500  2 Os 2.51, 8 Rh 2.54-2.80
Os: 0.0000 0.0000 0.0000  2 Os 2.48, 2 Ir 2.51, 4 Rh 2.70
Os: 0.0000 0.0000 0.5000  2 Os 2.48, 2 Ir 2.51, 4 Rh 2.70
Rh: 0.0579 0.6047 0.2500  3 Ir 2.54-2.80, 3 Rh 2.58-2.81, 2 Os 2.70
Rh: 0.3953 0.9421 0.2500  3 Ir 2.54-2.80, 3 Rh 2.58-2.81, 2 Os 2.70
Rh: 0.5000 0.5000 0.0000  2 Rh 2.48, 2 Ir 2.60
Rh: 0.5000 0.5000 0.5000  2 Rh 2.48, 2 Ir 2.60
Rh: 0.6047 0.0579 0.7500  3 Ir 2.54-2.80, 3 Rh 2.58-2.81, 2 Os 2.70
Rh: 0.9421 0.3953 0.7500  3 Ir 2.54-2.80, 3 Rh 2.58-2.81, 2 Os 2.70

Properties
**Space group**: Cmcm (63)
**Volume**: 16.94 Å³ per atom



x.
The following is a DFT calculation (PBE-GGA) of a relaxed IrOsRh3 crystal.

a = 4.6232 Å, b = 4.6232 Å, c = 4.6232 Å
α = 90.00°, β = 90.00°, γ = 90.00°
Closest atoms and distances in Å follow each position.
Fractional positions:
Ir: 0.0000 0.0000 0.0000  12 Rh 3.27
Os: 0.5000 0.5000 0.5000  6 Rh 2.31
Rh: 0.0000 0.5000 0.5000  2 Os 2.31
Rh: 0.5000 0.0000 0.5000  2 Os 2.31
Rh: 0.5000 0.5000 0.0000  2 Os 2.31

Properties
**Space group**: Pm-3m (221)
**Volume**: 19.76 Å³ per atom



Energies in meV per atom, measured from the most stable structure: w 0; x 1050.